No. 1
A relaxed structure of Cd2FePt, computed with PBE.

Output
The calculated formation energy is -4 kJ per mole of atoms. The symmetry is No. 99. The calculation puts the total magnetization at 2.98 μB per formula unit.

abc: 2.9379 2.9379 8.0318
angles: 90.00 90.00 90.00
With the nearest neighbours (Å) after each atom.
Sites, in units of the cell vectors:
Cd: 0.0000 0.0000 0.9763  4 Pt 2.92, 8 Cd 2.94-3.21
Cd: 0.5000 0.5000 0.2814  4 Fe 2.83, 4 Cd 2.94
Fe: 0.0000 0.0000 0.5215  4 Pt 2.62, 4 Cd 2.83
Pt: 0.5000 0.5000 0.7207  4 Fe 2.62, 4 Cd 2.92

No. 2
A relaxed structure of Sm3Si6Pt2Rh, computed with PBE.

Output
For the uncorrected formation energy, the calculation gives -0.542 eV/atom. The symmetry is No. 164. The calculation puts the total magnetization at 0.00 μB per formula unit.

abc: 5.8014 5.8014 7.8919
angles: 90.00 90.00 120.00
With the nearest neighbours (Å) after each atom.
Sites, in units of the cell vectors:
Sm: 0.3333 0.6667 0.6484  9 Si 2.94-3.06, 1 Pt 3.14
Sm: 0.6667 0.3333 0.3516  9 Si 2.94-3.06, 1 Pt 3.14
Sm: 0.0000 0.0000 0.0000  6 Si 3.09, 6 Pt 3.37
Si: 0.6130 0.8065 0.3040  2 Si 2.43, 1 Pt 2.47, 1 Rh 2.48
Si: 0.1935 0.3870 0.3040  2 Si 2.43, 1 Pt 2.47, 1 Rh 2.48
Si: 0.1935 0.8065 0.3040  2 Si 2.43, 1 Pt 2.47, 1 Rh 2.48
Si: 0.8065 0.6130 0.6960  2 Si 2.43, 1 Pt 2.47, 1 Rh 2.48
Si: 0.3870 0.1935 0.6960  2 Si 2.43, 1 Pt 2.47, 1 Rh 2.48
Si: 0.8065 0.1935 0.6960  2 Si 2.43, 1 Pt 2.47, 1 Rh 2.48
Pt: 0.6667 0.3333 0.9536  3 Si 2.47
Pt: 0.3333 0.6667 0.0464  3 Si 2.47
Rh: 0.0000 0.0000 0.5000  6 Si 2.48

No. 3
A relaxed structure of TiH2Br4, computed with PBE.

Output
Its uncorrected energy is -3.5291 eV/atom. The symmetry is No. 10. The calculation puts the total magnetization at 1.51 μB per formula unit.

abc: 3.5462 6.9025 7.2723
angles: 95.68 90.00 90.00
With the nearest neighbours (Å) after each atom.
Sites, in units of the cell vectors:
Ti: 0.0000 0.9286 0.0000  6 Br 2.58-2.72
H: 0.5000 0.6776 0.6716  2 Br 1.78
H: 0.5000 0.1796 0.3285  2 Br 1.78
Br: 0.5000 0.1439 0.8605  2 Ti 2.58
Br: 0.0000 0.6847 0.6830  2 H 1.78
Br: 0.5000 0.7133 0.1396  2 Ti 2.58
Br: 0.0000 0.1725 0.3171  2 H 1.78

No. 4
A relaxed structure of Rb2Ba2Ag, computed with PBE.

Output
The calculated formation energy is 36 kJ per mole of atoms. The symmetry is No. 139. Its energy relative to the lowest polymorph listed for this composition is 6.26 kcal/mol of atoms. The calculation puts the total magnetization at 1.58 μB per formula unit.

abc: 5.3234 5.3234 12.6432
angles: 77.85 77.85 90.00
With the nearest neighbours (Å) after each atom.
Sites, in units of the cell vectors:
Rb: 0.4182 0.4182 0.1636  1 Rb 3.95, 4 Ag 4.25
Rb: 0.5818 0.5818 0.8364  1 Rb 3.95, 4 Ag 4.25
Ba: 0.7500 0.2500 0.5000  4 Ba 3.76
Ba: 0.2500 0.7500 0.5000  4 Ba 3.76
Ag: 0.0000 0.0000 0.0000  8 Rb 4.25

No. 5
A relaxed structure of Ce3Pr2PuAs6, computed with PBE.

Output
The calculated formation energy is -133 kJ per mole of atoms. The symmetry is No. 12. The calculation puts the total magnetization at 7.25 μB per formula unit.

abc: 7.3371 7.3371 7.3369
angles: 99.60 99.60 119.99
With the nearest neighbours (Å) after each atom.
Sites, in units of the cell vectors:
Ce: 0.1680 0.8320 0.5000  6 As 2.96-3.00
Ce: 0.8320 0.1680 0.5000  6 As 2.96-3.00
Ce: 0.5000 0.5000 0.5000  6 As 2.96-3.01
Pr: 0.3337 0.6663 0.0000  6 As 3.03-3.04
Pr: 0.6663 0.3337 0.0000  6 As 3.03-3.04
Pu: 0.0000 0.0000 0.0000  6 As 2.98
As: 0.9153 0.5880 0.7453  3 Ce 2.96-3.00, 1 Pu 2.98, 2 Pr 3.03-3.04
As: 0.7582 0.7582 0.2552  3 Ce 2.97-3.01, 1 Pu 2.98, 2 Pr 3.03
As: 0.0847 0.4120 0.2547  3 Ce 2.96-3.00, 1 Pu 2.98, 2 Pr 3.03-3.04
As: 0.5880 0.9153 0.7453  3 Ce 2.96-3.00, 1 Pu 2.98, 2 Pr 3.03-3.04
As: 0.2418 0.2418 0.7448  3 Ce 2.97-3.01, 1 Pu 2.98, 2 Pr 3.03
As: 0.4120 0.0847 0.2547  3 Ce 2.96-3.00, 1 Pu 2.98, 2 Pr 3.03-3.04

No. 6
A relaxed structure of Pa2AlPt, computed with PBE.

Output
The calculated formation energy is -50 kJ per mole of atoms. The symmetry is No. 123. Its energy relative to the lowest polymorph listed for this composition is 0.00 kcal/mol of atoms. The calculation puts the total magnetization at 0.00 μB per formula unit.

abc: 4.4531 4.3026 4.3026
angles: 90.00 90.00 90.00
With the nearest neighbours (Å) after each atom.
Sites, in units of the cell vectors:
Pa: 0.0000 0.0000 0.5000  4 Pa 3.04, 4 Pt 3.10, 4 Al 3.10
Pa: 0.0000 0.5000 0.0000  4 Pa 3.04, 4 Al 3.10, 4 Pt 3.10
Al: 0.5000 0.0000 0.0000  4 Pt 3.04, 8 Pa 3.10
Pt: 0.5000 0.5000 0.5000  4 Al 3.04, 8 Pa 3.10

No. 7
A relaxed structure of Ce3In3Pb2, computed with PBE.

Output
The calculated formation energy is -36 kJ per mole of atoms. The symmetry is No. 47. The calculation puts the total magnetization at 2.84 μB per formula unit.

abc: 4.7395 4.7417 9.9431
angles: 90.00 90.00 90.00
With the nearest neighbours (Å) after each atom.
Sites, in units of the cell vectors:
Ce: 0.5000 0.5000 0.7334  6 In 3.32-3.56, 4 Pb 3.36, 2 Ce 3.56
Ce: 0.5000 0.5000 0.2666  6 In 3.32-3.56, 4 Pb 3.36, 2 Ce 3.56
Ce: 0.5000 0.0000 0.0000  4 In 3.35, 4 Pb 3.38, 4 Ce 3.56
In: 0.5000 0.0000 0.5000  4 Ce 3.32, 4 In 3.35, 4 Pb 3.48
In: 0.0000 0.5000 0.0000  8 Ce 3.35-3.56, 4 Pb 3.39
In: 0.0000 0.5000 0.5000  4 Ce 3.32, 4 In 3.35, 4 Pb 3.49
Pb: 0.0000 0.0000 0.7569  6 Ce 3.36-3.38, 6 In 3.39-3.49
Pb: 0.0000 0.0000 0.2431  6 Ce 3.36-3.38, 6 In 3.39-3.49